(1)
DFT (PBE) results for crystalline Al2TlAu at its relaxed geometry.

Values from the calculation:
**E above lowest polymorph**: 215.3 meV/atom
**Raw total energy**: -0.229 Ry per atom
**Fermi-level density of states**: 0.496 states/eV per atom
**ΔH_f (0 K)**: 0.1622 eV per atom
**Symmetry**: Fm-3m, No. 225
**Volume**: 20.40 Å³ per atom

Cell lengths 4.869, 4.869, 4.869 Å; angles 60.00, 60.00, 60.00 degrees
Element x y z (fractional)
1 Al 0.250 0.250 0.250
2 Al 0.750 0.750 0.750
3 Tl 0.000 0.000 0.000
4 Au 0.500 0.500 0.500

(2)
DFT (PBE) results for crystalline AlTlAu3 at its relaxed geometry.

Values from the calculation:
**E above lowest polymorph**: 4.6 meV/atom
**Raw total energy**: -0.245 Ry per atom
**Fermi-level density of states**: 0.304 states/eV per atom
**ΔH_f (0 K)**: -0.1421 eV per atom
**Symmetry**: P-1, No. 2
**Volume**: 21.46 Å³ per atom

Cell lengths 5.348, 6.783, 6.791 Å; angles 61.03, 85.39, 85.50 degrees
Element x y z (fractional)
1 Al 0.195 0.387 0.387
2 Al 0.805 0.613 0.613
3 Tl 0.488 0.862 0.857
4 Tl 0.512 0.138 0.143
5 Au 0.000 0.000 0.500
6 Au 0.000 0.500 0.000
7 Au 0.001 0.201 0.799
8 Au 0.337 0.607 0.606
9 Au 0.663 0.393 0.394
10 Au 0.999 0.799 0.201

(3)
DFT (PBE) results for crystalline AlTlAu2 at its relaxed geometry.

Values from the calculation:
**E above lowest polymorph**: 129.0 meV/atom
**Raw total energy**: -0.235 Ry per atom
**Fermi-level density of states**: 0.222 states/eV per atom
**ΔH_f (0 K)**: -0.0360 eV per atom
**Symmetry**: Pm, No. 6
**Volume**: 22.48 Å³ per atom

Cell lengths 4.077, 4.650, 4.802 Å; angles 90.00, 99.04, 90.00 degrees
Element x y z (fractional)
1 Al 0.000 0.000 0.000
2 Tl 0.229 0.500 0.607
3 Au 0.554 0.000 0.363
4 Au 0.766 0.500 0.079

(4)
DFT (PBE) results for crystalline AlTlAu2 at its relaxed geometry.

Values from the calculation:
**E above lowest polymorph**: 25.3 meV/atom
**Raw total energy**: -0.243 Ry per atom
**Fermi-level density of states**: 0.523 states/eV per atom
**ΔH_f (0 K)**: -0.1398 eV per atom
**Symmetry**: R-3m, No. 166
**Volume**: 20.95 Å³ per atom

Cell lengths 8.483, 8.483, 8.483 Å; angles 23.29, 23.29, 23.29 degrees
Element x y z (fractional)
1 Al 0.000 0.000 0.000
2 Tl 0.500 0.500 0.500
3 Au 0.264 0.264 0.264
4 Au 0.736 0.736 0.736

(5)
DFT (PBE) results for crystalline AlTlAu6 at its relaxed geometry.

Values from the calculation:
**Raw total energy**: -0.244 Ry per atom
**Fermi-level density of states**: 0.433 states/eV per atom
**ΔH_f (0 K)**: -0.1031 eV per atom
**Symmetry**: P4/mmm, No. 123
**Volume**: 20.92 Å³ per atom

Cell lengths 4.062, 4.062, 10.145 Å; angles 90.00, 90.00, 90.00 degrees
Element x y z (fractional)
1 Al 0.000 0.000 0.000
2 Tl 0.000 0.000 0.500
3 Au 0.000 0.500 0.162
4 Au 0.000 0.500 0.838
5 Au 0.500 0.000 0.162
6 Au 0.500 0.000 0.838
7 Au 0.500 0.500 0.366
8 Au 0.500 0.500 0.634

(6)
DFT (PBE) results for crystalline AlTlAu2 at its relaxed geometry.

Values from the calculation:
**E above lowest polymorph**: 129.7 meV/atom
**Raw total energy**: -0.235 Ry per atom
**Fermi-level density of states**: 0.320 states/eV per atom
**ΔH_f (0 K)**: -0.0353 eV per atom
**Symmetry**: Pmm2, No. 25
**Volume**: 21.10 Å³ per atom

Cell lengths 3.179, 3.881, 6.842 Å; angles 90.00, 90.00, 90.00 degrees
Element x y z (fractional)
1 Al 0.000 0.000 0.000
2 Tl 0.500 0.500 0.657
3 Au 0.000 0.000 0.388
4 Au 0.500 0.500 0.138

(7)
DFT (PBE) results for crystalline Al2TlAu at its relaxed geometry.

Values from the calculation:
**E above lowest polymorph**: 211.4 meV/atom
**Raw total energy**: -0.230 Ry per atom
**Fermi-level density of states**: 0.422 states/eV per atom
**ΔH_f (0 K)**: 0.1582 eV per atom
**Symmetry**: I4/mmm, No. 139
**Volume**: 20.14 Å³ per atom

Cell lengths 5.186, 5.186, 5.186 Å; angles 129.68, 129.68, 73.92 degrees
Element x y z (fractional)
1 Al 0.250 0.750 0.500
2 Al 0.750 0.250 0.500
3 Tl 0.000 0.000 0.000
4 Au 0.500 0.500 0.000

(8)
DFT (PBE) results for crystalline Al2TlAu at its relaxed geometry.

Values from the calculation:
**E above lowest polymorph**: 212.5 meV/atom
**Raw total energy**: -0.230 Ry per atom
**Fermi-level density of states**: 0.334 states/eV per atom
**ΔH_f (0 K)**: 0.1594 eV per atom
**Symmetry**: Cmmm, No. 65
**Volume**: 20.10 Å³ per atom

Cell lengths 5.090, 5.090, 3.263 Å; angles 90.00, 90.00, 108.04 degrees
Element x y z (fractional)
1 Al 0.000 0.500 0.000
2 Al 0.500 0.000 0.000
3 Tl 0.000 0.000 0.500
4 Au 0.500 0.500 0.500